The following is a SCAN calculation of ZrBTeI2 at its PBEsol-relaxed geometry, from the Alexandria database.

The structure in CIF format:
```
data_ZrBTeI2
_chemical_formula_sum 'Zr1 B1 Te1 I2'
_symmetry_space_group_name_H-M 'P 4/m m m'
_symmetry_Int_Tables_number 123
_symmetry_space_group_name_Hall '-P 4 2'
_cell_length_a 5.630
_cell_length_b 5.630
_cell_length_c 5.547
_cell_angle_alpha 90.00
_cell_angle_beta 90.00
_cell_angle_gamma 90.00
loop_
_atom_site_label
_atom_site_fract_x
_atom_site_fract_y
_atom_site_fract_z
Zr1 0.000 0.000 0.000
B1 0.500 0.500 0.500
Te1 0.000 0.000 0.500
I1 0.000 0.500 0.000
```

E_form (uncorrected)   621 meV/atom
Crystal system   tetragonal
DOS at the Fermi energy   0.736 states/eV/atom
Volume   35.2 Å³ per atom